Arrangement one

Crystalline NpWC at its relaxed geometry. Source: Alexandria, functional PBE-GGA.

Geometry as CIF:
```
data_NpWC
_cell_length_a 3.0173
_cell_length_b 3.0173
_cell_length_c 5.6150
_cell_angle_alpha 90.00
_cell_angle_beta 90.00
_cell_angle_gamma 120.00
_symmetry_space_group_name_H-M 'P 3 m 1'
_symmetry_Int_Tables_number 156
_symmetry_space_group_name_Hall 'P 3 -2"'
loop_
_atom_site_label
_atom_site_type_symbol
_atom_site_fract_x
_atom_site_fract_y
_atom_site_fract_z
Np1 Np 0.0000 0.0000 0.0000
W1 W 0.6667 0.3333 0.4961
C1 C 0.3333 0.6667 0.7064
```

---

Arrangement two

Crystalline NpWC at its relaxed geometry. Source: Alexandria, functional PBE-GGA.

Geometry as CIF:
```
data_NpWC
_cell_length_a 2.935
_cell_length_b 2.935
_cell_length_c 10.889
_cell_angle_alpha 90.00
_cell_angle_beta 90.00
_cell_angle_gamma 90.00
_symmetry_space_group_name_H-M 'I 4 m m'
_symmetry_Int_Tables_number 107
_symmetry_space_group_name_Hall 'I 4 -2'
loop_
_atom_site_label
_atom_site_type_symbol
_atom_site_fract_x
_atom_site_fract_y
_atom_site_fract_z
Np1 Np 0.000 0.000 0.000
W1 W 0.000 0.000 0.716
C1 C 0.000 0.000 0.267
```

---

How do the structures above rank in stability at the extremes? arrangement one comes first and arrangement two comes last.